First-principles (PBE with a Hubbard U) data for a relaxed structure of Ca2FeMoO6, as listed in Alexandria via LeMat-Bulk.

## Properties
Spin magnetization (μB per atom): 0.40
ΔE to the lowest computed polymorph (eV/atom): 0.000

a = 5.4625 Å, b = 5.5899 Å, c = 9.5091 Å
α = 90.00°, β = 124.66°, γ = 90.00°
Closest atoms and distances in Å follow each position.
Element x y z (fractional)
Ca  0.2363  0.0504  0.2469  5 O 2.33-2.61
Ca  0.2363  0.4496  0.7469  5 O 2.33-2.61
Ca  0.7637  0.5504  0.2531  5 O 2.33-2.61
Ca  0.7637  0.9496  0.7531  5 O 2.33-2.61
Fe  0.0000  0.0000  0.5000  6 O 2.02-2.09
Fe  0.0000  0.5000  0.0000  6 O 2.02-2.09
Mo  0.5000  0.0000  0.0000  6 O 1.95-2.03
Mo  0.5000  0.5000  0.5000  6 O 1.95-2.03
O  0.1536  0.2059  0.9512  1 Fe 2.02, 1 Mo 2.03
O  0.1536  0.2941  0.4512  1 Fe 2.02, 1 Mo 2.03
O  0.2622  0.7138  0.9543  1 Mo 1.95, 1 Fe 2.09
O  0.2622  0.7862  0.4543  1 Mo 1.95, 1 Fe 2.09
O  0.3399  0.0278  0.7492  1 Fe 2.02, 1 Mo 2.03
O  0.3399  0.4722  0.2492  1 Fe 2.02, 1 Mo 2.03
O  0.6601  0.5278  0.7508  1 Fe 2.02, 1 Mo 2.03
O  0.6601  0.9722  0.2508  1 Fe 2.02, 1 Mo 2.03
O  0.7378  0.2138  0.5457  1 Mo 1.95, 1 Fe 2.09
O  0.7378  0.2862  0.0457  1 Mo 1.95, 1 Fe 2.09
O  0.8464  0.7059  0.5488  1 Fe 2.02, 1 Mo 2.03
O  0.8464  0.7941  0.0488  1 Fe 2.02, 1 Mo 2.03